# 1
Below is crystalline Li3Sm4Bi8 at its relaxed geometry, with properties calculated at the PBE level.

Properties
**Total energy**: -4.331 eV/atom
**Energy relative to the elements**: -59.8 kJ/mol of atoms
**SG**: P-4m2

a b c (Å): 4.552 4.552 20.349
angles (deg): 90.00 90.00 90.00
Element x y z (fractional)
Bi 0.000 0.000 0.241
Bi 0.500 0.500 0.241
Bi 0.500 0.500 0.759
Bi 0.000 0.000 0.759
Bi 0.500 0.000 0.071
Bi 0.000 0.500 0.413
Bi 0.500 0.000 0.587
Bi 0.000 0.500 0.929
Sm 0.000 0.500 0.115
Sm 0.500 0.000 0.366
Sm 0.000 0.500 0.634
Sm 0.500 0.000 0.885
Li 0.500 0.500 0.500
Li 0.000 0.000 0.000
Li 0.000 0.000 0.500


# 2
Below is crystalline Y3PI at its relaxed geometry, with properties calculated at the PBE level.

Properties
**Total energy**: -5.750 eV/atom
**Polymorph energy (0 for the lowest one)**: 0 meV/atom
**Uncorrected formation energy**: -479 meV per atom
**SG**: Pm-3m

a b c (Å): 5.356 5.356 5.356
angles (deg): 90.00 90.00 90.00
Element x y z (fractional)
Y 0.000 0.000 0.500
Y 0.000 0.500 0.000
Y 0.500 0.000 0.000
P 0.000 0.000 0.000
I 0.500 0.500 0.500


# 3
Below is crystalline La5Te4As at its relaxed geometry, with properties calculated at the PBE level.

Properties
**Total energy**: -5.786 eV/atom
**Uncorrected formation energy**: -1601 meV per atom
**SG**: I4/mmm

a b c (Å): 4.536 4.536 16.413
angles (deg): 97.94 97.94 90.00
Element x y z (fractional)
Te 0.804 0.804 0.608
Te 0.399 0.399 0.798
Te 0.196 0.196 0.392
Te 0.601 0.601 0.202
La 0.703 0.703 0.406
La 0.093 0.093 0.186
La 0.907 0.907 0.814
La 0.500 0.500 0.000
La 0.297 0.297 0.594
As 0.000 0.000 0.000


> The lowest total energy belongs to which entry?

La5Te4As


Repeat the first record exactly.
Below is crystalline Li3Sm4Bi8 at its relaxed geometry, with properties calculated at the PBE level.

Properties
**Total energy**: -4.331 eV/atom
**Energy relative to the elements**: -59.8 kJ/mol of atoms
**SG**: P-4m2

a b c (Å): 4.552 4.552 20.349
angles (deg): 90.00 90.00 90.00
Element x y z (fractional)
Bi 0.000 0.000 0.241
Bi 0.500 0.500 0.241
Bi 0.500 0.500 0.759
Bi 0.000 0.000 0.759
Bi 0.500 0.000 0.071
Bi 0.000 0.500 0.413
Bi 0.500 0.000 0.587
Bi 0.000 0.500 0.929
Sm 0.000 0.500 0.115
Sm 0.500 0.000 0.366
Sm 0.000 0.500 0.634
Sm 0.500 0.000 0.885
Li 0.500 0.500 0.500
Li 0.000 0.000 0.000
Li 0.000 0.000 0.500